Entry 1:
An optimized crystal structure of HoThIn3, computed with PBE.

a = 8.8322 Å, b = 8.8322 Å, c = 5.5581 Å
α = 90.00°, β = 90.00°, γ = 138.77°
Sites, in units of the cell vectors:
Ho  0.0691  0.9309  0.7500
Ho  0.9309  0.0691  0.2500
Th  0.3052  0.6948  0.2500
Th  0.6948  0.3052  0.7500
In  0.1057  0.3719  0.7500
In  0.3719  0.1057  0.2500
In  0.5000  0.5000  0.0000
In  0.5000  0.5000  0.5000
In  0.6281  0.8943  0.7500
In  0.8943  0.6281  0.2500

Its calculated formation energy is -0.175 eV/atom. Its space-group type is Cmcm.



Entry 2:
An optimized crystal structure of DyEr2Th4, computed with PBE.

a = 9.2905 Å, b = 9.2905 Å, c = 5.5100 Å
α = 90.00°, β = 90.00°, γ = 90.00°
Sites, in units of the cell vectors:
Dy  0.0000  0.0000  0.0000
Dy  0.5000  0.5000  0.5000
Er  0.1811  0.1811  0.5000
Er  0.3189  0.6811  0.0000
Er  0.6811  0.3189  0.0000
Er  0.8189  0.8189  0.5000
Th  0.1231  0.3755  0.0000
Th  0.1245  0.6231  0.5000
Th  0.3755  0.1231  0.0000
Th  0.3769  0.8755  0.5000
Th  0.6231  0.1245  0.5000
Th  0.6245  0.8769  0.0000
Th  0.8755  0.3769  0.5000
Th  0.8769  0.6245  0.0000

Its calculated formation energy is 0.327 eV/atom. Its space-group type is P4_2/mnm.



Entry 3:
An optimized crystal structure of La2CeN3, computed with PBE.

a = 8.2372 Å, b = 8.2372 Å, c = 8.2372 Å
α = 154.07°, β = 154.07°, γ = 37.00°
Sites, in units of the cell vectors:
La  0.1630  0.1630  0.0000
La  0.8370  0.8370  0.0000
Ce  0.5000  0.5000  0.0000
N  0.0000  0.0000  0.0000
N  0.3462  0.3462  0.0000
N  0.6538  0.6538  0.0000

The calculation puts the polymorph energy (0 for the lowest one) at 0.014 eV per atom. As for the uncorrected formation energy: -1376.1 meV/atom. Its space-group type is I4/mmm.



Entry 4:
An optimized crystal structure of CsSr2Pr, computed with PBE.

a = 4.2839 Å, b = 4.2839 Å, c = 12.4285 Å
α = 90.00°, β = 90.00°, γ = 90.00°
Sites, in units of the cell vectors:
Cs  0.0000  0.0000  0.0000
Sr  0.5000  0.5000  0.3038
Sr  0.5000  0.5000  0.6962
Pr  0.0000  0.0000  0.5000

Its calculated formation energy is 0.196 eV/atom. Its space-group type is P4/mmm.



Entry 5:
An optimized crystal structure of AcErZnHg, computed with PBE.

a = 5.4153 Å, b = 5.4153 Å, c = 5.4153 Å
α = 60.00°, β = 60.00°, γ = 60.00°
Sites, in units of the cell vectors:
Ac  0.0000  0.0000  0.0000
Er  0.5000  0.5000  0.5000
Zn  0.7500  0.7500  0.7500
Hg  0.2500  0.2500  0.2500

Its calculated formation energy is -0.309 eV/atom. Its space-group type is F-43m.



Entry 6:
An optimized crystal structure of Tl2In5Hg12, computed with PBE.

a = 9.8200 Å, b = 9.8200 Å, c = 6.1676 Å
α = 106.10°, β = 106.10°, γ = 68.24°
Sites, in units of the cell vectors:
Tl  0.1661  0.8339  0.0000
Tl  0.8339  0.1661  0.0000
In  0.0000  0.0000  0.5000
In  0.2012  0.2012  0.8940
In  0.3772  0.3772  0.5906
In  0.6228  0.6228  0.4094
In  0.7988  0.7988  0.1060
Hg  0.0748  0.5312  0.8020
Hg  0.1541  0.6439  0.3842
Hg  0.1740  0.1740  0.3590
Hg  0.3561  0.8459  0.6158
Hg  0.4240  0.4240  0.1260
Hg  0.4688  0.9252  0.1980
Hg  0.5312  0.0748  0.8020
Hg  0.5760  0.5760  0.8740
Hg  0.6439  0.1541  0.3842
Hg  0.8260  0.8260  0.6410
Hg  0.8459  0.3561  0.6158
Hg  0.9252  0.4688  0.1980

The calculation puts the polymorph energy (0 for the lowest one) at 0.000 eV per atom. Its calculated formation energy is 0.005 eV/atom. Its space-group type is C2/m.



Entry 7:
An optimized crystal structure of Pr3CuSi3, computed with PBE.

a = 9.6312 Å, b = 9.6312 Å, c = 9.6312 Å
α = 155.83°, β = 153.73°, γ = 35.99°
Sites, in units of the cell vectors:
Pr  0.0000  0.0000  0.0000
Pr  0.1856  0.6856  0.5000
Pr  0.3670  0.3670  0.0000
Cu  0.6171  0.1171  0.5000
Si  0.5479  0.5479  0.0000
Si  0.7436  0.2436  0.5000
Si  0.8226  0.8226  0.0000

As for the uncorrected formation energy: -663.9 meV/atom. Its space-group type is Imm2.



Entry 8:
An optimized crystal structure of Hf2Tl2Si, computed with PBE.

a = 6.9688 Å, b = 6.9688 Å, c = 4.7266 Å
α = 90.00°, β = 90.00°, γ = 90.00°
Sites, in units of the cell vectors:
Hf  0.1617  0.3383  0.0000
Hf  0.3383  0.8383  0.0000
Hf  0.6617  0.1617  0.0000
Hf  0.8383  0.6617  0.0000
Tl  0.1570  0.6570  0.5000
Tl  0.3430  0.1570  0.5000
Tl  0.6570  0.8430  0.5000
Tl  0.8430  0.3430  0.5000
Si  0.0000  0.0000  0.0000
Si  0.5000  0.5000  0.0000

As for the uncorrected formation energy: -31.8 meV/atom. Its space-group type is P4/mbm.



Entry 9:
An optimized crystal structure of LiAs2Cl, computed with PBE.

a = 7.8114 Å, b = 7.8114 Å, c = 2.9632 Å
α = 90.00°, β = 90.00°, γ = 144.19°
Sites, in units of the cell vectors:
Li  0.0000  0.0000  0.0000
As  0.0000  0.5000  0.5000
As  0.5000  0.0000  0.5000
Cl  0.5000  0.5000  0.0000

The calculation puts the polymorph energy (0 for the lowest one) at 0.627 eV per atom. As for the uncorrected formation energy: -195.0 meV/atom. Its space-group type is Cmmm.



Entry 10:
An optimized crystal structure of Tb2Sm3Tm, computed with PBE.

a = 6.2314 Å, b = 6.2314 Å, c = 11.5899 Å
α = 90.00°, β = 90.00°, γ = 120.00°
Sites, in units of the cell vectors:
Tb  0.3333  0.6667  0.0000
Tb  0.3333  0.6667  0.5000
Tb  0.6667  0.3333  0.0000
Tb  0.6667  0.3333  0.5000
Sm  0.0000  0.3311  0.2500
Sm  0.0000  0.6689  0.7500
Sm  0.3311  0.0000  0.2500
Sm  0.3311  0.3311  0.7500
Sm  0.6689  0.0000  0.7500
Sm  0.6689  0.6689  0.2500
Tm  0.0000  0.0000  0.0000
Tm  0.0000  0.0000  0.5000

The calculation puts the polymorph energy (0 for the lowest one) at 0.018 eV per atom. Its calculated formation energy is 0.013 eV/atom. Its space-group type is P6_3/mcm.



Entry 11:
An optimized crystal structure of BeGe3Ru, computed with PBE.

a = 4.3707 Å, b = 4.3707 Å, c = 4.3707 Å
α = 90.00°, β = 90.00°, γ = 90.00°
Sites, in units of the cell vectors:
Be  0.0000  0.0000  0.0000
Ge  0.0000  0.0000  0.5000
Ge  0.0000  0.5000  0.0000
Ge  0.5000  0.0000  0.0000
Ru  0.5000  0.5000  0.5000

The calculation puts the polymorph energy (0 for the lowest one) at 0.122 eV per atom. Its calculated formation energy is 0.824 eV/atom. Its space-group type is Pm-3m.



Entry 12:
An optimized crystal structure of LiSbF3, computed with PBE.

a = 3.8826 Å, b = 3.8826 Å, c = 3.8826 Å
α = 90.00°, β = 90.00°, γ = 90.00°
Sites, in units of the cell vectors:
Li  0.0000  0.0000  0.0000
Sb  0.5000  0.5000  0.5000
F  0.0000  0.0000  0.5000
F  0.0000  0.5000  0.0000
F  0.5000  0.0000  0.0000

The calculation puts the polymorph energy (0 for the lowest one) at 0.000 eV per atom. As for the uncorrected formation energy: -1985.8 meV/atom. Its space-group type is Pm-3m.



Entry 13:
An optimized crystal structure of ReTeRh2, computed with PBE.

a = 4.7258 Å, b = 4.7258 Å, c = 5.0470 Å
α = 100.74°, β = 100.74°, γ = 36.42°
Sites, in units of the cell vectors:
Re  0.0000  0.0000  0.0000
Te  0.7476  0.7476  0.3128
Rh  0.2568  0.2568  0.8099
Rh  0.5003  0.5003  0.5532

As for the uncorrected formation energy: 268.0 meV/atom. Its space-group type is Cm.



Entry 14:
An optimized crystal structure of Ag3Br, computed with PBE.

a = 5.7467 Å, b = 10.3291 Å, c = 5.7386 Å
α = 90.00°, β = 90.00°, γ = 90.00°
Sites, in units of the cell vectors:
Ag  0.0054  0.2500  0.0006
Ag  0.1758  0.5012  0.1773
Ag  0.1758  0.9988  0.1773
Ag  0.3242  0.0012  0.6773
Ag  0.3242  0.4988  0.6773
Ag  0.4946  0.7500  0.5006
Ag  0.5054  0.2500  0.4994
Ag  0.6758  0.5012  0.3227
Ag  0.6758  0.9988  0.3227
Ag  0.8242  0.0012  0.8227
Ag  0.8242  0.4988  0.8227
Ag  0.9946  0.7500  0.9994
Br  0.0043  0.2500  0.5001
Br  0.4957  0.7500  0.0001
Br  0.5043  0.2500  0.9999
Br  0.9957  0.7500  0.4999

The calculation puts the polymorph energy (0 for the lowest one) at 0.121 eV per atom. As for the uncorrected formation energy: 103.4 meV/atom. Its space-group type is Pnma.



Entry 15:
An optimized crystal structure of NaPSe2, computed with PBE.

a = 7.6409 Å, b = 7.6409 Å, c = 7.6409 Å
α = 132.25°, β = 132.25°, γ = 69.84°
Sites, in units of the cell vectors:
Na  0.0000  0.0000  0.0000
Na  0.7500  0.2500  0.5000
P  0.2500  0.7500  0.5000
P  0.5000  0.5000  0.0000
Se  0.1989  0.6250  0.0739
Se  0.3750  0.4489  0.5739
Se  0.5511  0.1250  0.9261
Se  0.8750  0.8011  0.4261

As for the uncorrected formation energy: -261.9 meV/atom. Its space-group type is I-42d.



Entry 16:
An optimized crystal structure of Sm3ErCd, computed with PBE.

a = 9.9792 Å, b = 9.9792 Å, c = 8.6440 Å
α = 103.57°, β = 103.57°, γ = 21.57°
Sites, in units of the cell vectors:
Sm  0.0040  0.0040  0.2804
Sm  0.1866  0.1866  0.3779
Sm  0.4008  0.4008  0.9616
Sm  0.5992  0.5992  0.0384
Sm  0.8134  0.8134  0.6221
Sm  0.9960  0.9960  0.7196
Er  0.2047  0.2047  0.8282
Er  0.7953  0.7953  0.1718
Cd  0.3977  0.3977  0.4213
Cd  0.6023  0.6023  0.5787

The calculation puts the polymorph energy (0 for the lowest one) at 0.000 eV per atom. Its calculated formation energy is -0.099 eV/atom. Its space-group type is C2/m.



Entry 17:
An optimized crystal structure of CaGeIO6, computed with PBE.

a = 5.2055 Å, b = 5.2055 Å, c = 10.2581 Å
α = 90.00°, β = 90.00°, γ = 120.00°
Sites, in units of the cell vectors:
Ca  0.0000  0.0000  0.0000
Ca  0.0000  0.0000  0.5000
Ge  0.3333  0.6667  0.2500
Ge  0.6667  0.3333  0.7500
I  0.3333  0.6667  0.7500
I  0.6667  0.3333  0.2500
O  0.0135  0.3789  0.1429
O  0.0135  0.6346  0.3571
O  0.3654  0.3789  0.3571
O  0.3654  0.9865  0.1429
O  0.3789  0.0135  0.6429
O  0.3789  0.3654  0.8571
O  0.6211  0.6346  0.1429
O  0.6211  0.9865  0.3571
O  0.6346  0.0135  0.8571
O  0.6346  0.6211  0.6429
O  0.9865  0.3654  0.6429
O  0.9865  0.6211  0.8571

As for the uncorrected formation energy: -1360.4 meV/atom. Its space-group type is P-31c.



Entry 18:
An optimized crystal structure of CeDyTe2, computed with PBE.

a = 12.4561 Å, b = 12.4561 Å, c = 4.6817 Å
α = 90.00°, β = 90.00°, γ = 160.62°
Sites, in units of the cell vectors:
Ce  0.0613  0.9387  0.7500
Ce  0.9387  0.0613  0.2500
Dy  0.3144  0.6856  0.7500
Dy  0.6856  0.3144  0.2500
Te  0.1896  0.8104  0.7500
Te  0.4404  0.5596  0.7500
Te  0.5596  0.4404  0.2500
Te  0.8104  0.1896  0.2500

The calculation puts the polymorph energy (0 for the lowest one) at 0.086 eV per atom. As for the uncorrected formation energy: -1250.4 meV/atom. Its space-group type is Cmcm.



Entry 19:
An optimized crystal structure of SiSn2Rh2, computed with PBE.

a = 7.6156 Å, b = 7.6156 Å, c = 3.1186 Å
α = 90.00°, β = 90.00°, γ = 90.00°
Sites, in units of the cell vectors:
Si  0.0000  0.0000  0.0000
Si  0.5000  0.5000  0.0000
Sn  0.1542  0.3458  0.5000
Sn  0.3458  0.8458  0.5000
Sn  0.6542  0.1542  0.5000
Sn  0.8458  0.6542  0.5000
Rh  0.1444  0.6444  0.0000
Rh  0.3556  0.1444  0.0000
Rh  0.6444  0.8556  0.0000
Rh  0.8556  0.3556  0.0000

As for the uncorrected formation energy: -135.3 meV/atom. Its space-group type is P4/mbm.



Entry 20:
An optimized crystal structure of B2AuBr, computed with PBE.

a = 6.1884 Å, b = 6.1884 Å, c = 6.1884 Å
α = 128.05°, β = 128.05°, γ = 76.54°
Sites, in units of the cell vectors:
B  0.0739  0.6250  0.9489
B  0.3750  0.3239  0.4489
B  0.6761  0.1250  0.0511
B  0.8750  0.9261  0.5511
Au  0.0000  0.0000  0.0000
Au  0.7500  0.2500  0.5000
Br  0.2500  0.7500  0.5000
Br  0.5000  0.5000  0.0000

The calculation puts the polymorph energy (0 for the lowest one) at 0.000 eV per atom. As for the uncorrected formation energy: 1121.6 meV/atom. Its space-group type is I-42d.



Entry 21:
An optimized crystal structure of PaNi3S3, computed with PBE.

a = 7.2694 Å, b = 7.2694 Å, c = 7.2694 Å
α = 53.07°, β = 53.07°, γ = 53.07°
Sites, in units of the cell vectors:
Pa  0.1666  0.1666  0.1666
Pa  0.8334  0.8334  0.8334
Ni  0.0343  0.7162  0.3797
Ni  0.2838  0.6203  0.9657
Ni  0.3797  0.0343  0.7162
Ni  0.6203  0.9657  0.2838
Ni  0.7162  0.3797  0.0343
Ni  0.9657  0.2838  0.6203
S  0.0848  0.4111  0.7429
S  0.2571  0.9152  0.5889
S  0.4111  0.7429  0.0848
S  0.5889  0.2571  0.9152
S  0.7429  0.0848  0.4111
S  0.9152  0.5889  0.2571

As for the uncorrected formation energy: -838.9 meV/atom. Its space-group type is R-3.



Entry 22:
An optimized crystal structure of TcCl, computed with PBE.

a = 9.6878 Å, b = 9.6878 Å, c = 9.6878 Å
α = 17.74°, β = 17.74°, γ = 17.74°
Sites, in units of the cell vectors:
Tc  0.1304  0.1304  0.1304
Tc  0.8696  0.8696  0.8696
Cl  0.4002  0.4002  0.4002
Cl  0.5998  0.5998  0.5998

The calculation puts the polymorph energy (0 for the lowest one) at 0.110 eV per atom. As for the uncorrected formation energy: -16.6 meV/atom. Its space-group type is R-3m.



Entry 23:
An optimized crystal structure of PuThZr2, computed with PBE.

a = 3.2869 Å, b = 3.2869 Å, c = 9.5935 Å
α = 90.00°, β = 90.00°, γ = 90.00°
Sites, in units of the cell vectors:
Pu  0.0000  0.0000  0.0000
Th  0.0000  0.0000  0.5000
Zr  0.5000  0.5000  0.2358
Zr  0.5000  0.5000  0.7642

The calculation puts the polymorph energy (0 for the lowest one) at 0.035 eV per atom. Its calculated formation energy is 0.144 eV/atom. Its space-group type is P4/mmm.



Entry 24:
An optimized crystal structure of LaBeV2Te, computed with PBE.

a = 4.8010 Å, b = 4.8010 Å, c = 4.8420 Å
α = 90.00°, β = 90.00°, γ = 90.00°
Sites, in units of the cell vectors:
La  0.0000  0.0000  0.0000
Be  0.0000  0.0000  0.5000
V  0.0000  0.5000  0.0000
V  0.5000  0.0000  0.0000
Te  0.5000  0.5000  0.5000

As for the uncorrected formation energy: 1722.2 meV/atom. Its space-group type is P4/mmm.